Record 1
A plane-wave DFT calculation with SCAN was carried out for a crystal of ZrSb2Mo relaxed with PBEsol.

Energy relative to the elements, uncorrected ... 0.024 eV/atom
Calculated volume ... 21.7 Å³/atom
SG ... R3m

Cell: 3.3589 3.3589 9.0918 Å, 79.36 79.36 60.00°
Element x y z (fractional)
Mo1 0.2498 0.2498 0.2506
Sb1 0.9881 0.9881 0.0357
Sb2 0.7544 0.7544 0.7369
Zr1 0.5077 0.5077 0.4768


Record 2
A plane-wave DFT calculation with SCAN was carried out for a crystal of ZrSbMo3 relaxed with PBEsol.

Energy relative to the elements, uncorrected ... 1.642 eV/atom
Calculated volume ... 22.2 Å³/atom
SG ... Pm-3m

Cell: 4.8078 4.8078 4.8078 Å, 90.00 90.00 90.00°
Last column: magnetic moment on the atom in μB.
Element x y z (fractional)
Sb1 0.0000 0.0000 0.0000  -0.01
Mo1 0.0000 0.5000 0.0000  0.41
Mo2 0.0000 0.0000 0.5000  0.41
Mo3 0.5000 0.0000 0.0000  0.41
Zr1 0.5000 0.5000 0.5000  0.05


Record 3
A plane-wave DFT calculation with SCAN was carried out for a crystal of ZrSb2Mo relaxed with PBEsol.

Energy relative to the elements, uncorrected ... 0.125 eV/atom
Calculated volume ... 20.3 Å³/atom
SG ... F-43m

Cell: 4.8615 4.8615 4.8615 Å, 60.00 60.00 60.00°
Element x y z (fractional)
Mo1 0.5000 0.5000 0.5000
Sb1 0.0000 0.0000 0.0000
Sb2 0.7500 0.7500 0.7500
Zr1 0.2500 0.2500 0.2500


Record 4
A plane-wave DFT calculation with SCAN was carried out for a crystal of ZrSbMo relaxed with PBEsol.

Energy relative to the elements, uncorrected ... -0.064 eV/atom
Calculated volume ... 19.3 Å³/atom
SG ... P3m1

Cell: 2.9627 4.7518 4.7518 Å, 120.00 90.00 90.00°
Element x y z (fractional)
Mo1 0.8713 0.0000 0.0000
Sb1 0.8322 0.6667 0.3333
Zr1 0.2965 0.3333 0.6667


Record 5
A plane-wave DFT calculation with SCAN was carried out for a crystal of ZrSb2Mo relaxed with PBEsol.

Energy relative to the elements, uncorrected ... 0.101 eV/atom
Calculated volume ... 20.4 Å³/atom
SG ... Immm

Cell: 3.5936 5.2030 5.3949 Å, 118.83 109.45 90.00°
Element x y z (fractional)
Mo1 0.0000 0.5000 0.0000
Sb1 0.7351 0.7351 0.4702
Sb2 0.2649 0.2649 0.5298
Zr1 0.5000 0.0000 0.0000


Record 6
A plane-wave DFT calculation with SCAN was carried out for a crystal of ZrSb3Mo relaxed with PBEsol.

Energy relative to the elements, uncorrected ... 0.962 eV/atom
Calculated volume ... 31.6 Å³/atom
SG ... Pm-3m

Cell: 5.4089 5.4089 5.4089 Å, 90.00 90.00 90.00°
Last column: magnetic moment on the atom in μB.
Element x y z (fractional)
Sb1 0.0000 0.5000 0.0000  -0.03
Sb2 0.0000 0.0000 0.5000  -0.03
Sb3 0.5000 0.0000 0.0000  -0.03
Mo1 0.5000 0.5000 0.5000  4.12
Zr1 0.0000 0.0000 0.0000  0.04